Entry 1:
Below is an optimized crystal structure of Li8MgTl2, with properties calculated at the PBE-GGA level.

a b c (Å): 4.960 7.668 8.147
angles (deg): 61.92 72.59 50.53
Sites, in units of the cell vectors:
Tl1 0.000 0.682 0.637
Li1 0.243 0.494 0.000
Mg1 0.500 0.000 0.000
Li2 0.229 0.904 0.734
Li3 0.229 0.638 0.266
Tl2 0.000 0.318 0.363
Li4 0.771 0.096 0.266
Li5 0.771 0.362 0.734
Li6 0.500 0.792 0.416
Li7 0.757 0.506 0.000
Li8 0.500 0.208 0.584

## Properties
- energy above the most stable polymorph in this dataset (eV per atom) = 0.034
- M_tot (μB/cell) = 0.0
- energy of formation (eV per atom) = -0.113
- crystal system = monoclinic

Entry 2:
Below is an optimized crystal structure of LiMg4Tl4, with properties calculated at the PBE-GGA level.

a b c (Å): 4.656 7.248 7.248
angles (deg): 84.08 71.26 71.26
Sites, in units of the cell vectors:
Tl1 0.000 0.687 0.313
Mg1 0.334 0.000 0.331
Li1 0.000 0.000 0.000
Mg2 0.334 0.331 0.000
Mg3 0.666 0.669 0.000
Tl2 0.313 0.687 0.687
Tl3 0.687 0.313 0.313
Tl4 0.000 0.313 0.687
Mg4 0.666 0.000 0.669

## Properties
- M_tot (μB/cell) = 0.0
- energy of formation (eV per atom) = -0.046
- crystal system = tetragonal

Entry 3:
Below is an optimized crystal structure of Li2Mg2Tl, with properties calculated at the PBE-GGA level.

a b c (Å): 7.408 7.408 3.782
angles (deg): 90.00 90.00 90.00
Sites, in units of the cell vectors:
Mg1 0.159 0.659 0.500
Li1 0.137 0.363 0.000
Mg2 0.659 0.841 0.500
Mg3 0.341 0.159 0.500
Li2 0.363 0.863 0.000
Mg4 0.841 0.341 0.500
Tl1 0.000 0.000 0.000
Tl2 0.500 0.500 0.000
Li3 0.863 0.637 0.000
Li4 0.637 0.137 0.000

## Properties
- energy above the most stable polymorph in this dataset (eV per atom) = 0.006
- M_tot (μB/cell) = 0.0
- energy of formation (eV per atom) = -0.056
- crystal system = tetragonal